TbAgPd14 after structural relaxation, computed with PBE-GGA.

Computed properties:
DFT formation energy: -0.20 eV per atom
Density: 11.31 Mg/m³
Crystal system: tetragonal
SG: P4/mmm (123)
V: 16.12 A^3/atom
Uncorrected energy: -83.36 eV per cell

a b c (Å): 5.657 5.657 8.060
angles (deg): 90.00 90.00 89.99
Fractional positions:
Tb: 0.875 0.875 0.500
Ag: 0.375 0.375 0.500
Pd: 0.875 0.875 0.000
Pd: 0.375 0.375 0.000
Pd: 0.875 0.375 0.500
Pd: 0.875 0.375 0.000
Pd: 0.375 0.875 0.500
Pd: 0.375 0.875 0.000
Pd: 0.624 0.126 0.244
Pd: 0.624 0.126 0.756
Pd: 0.126 0.624 0.244
Pd: 0.126 0.624 0.756
Pd: 0.624 0.624 0.244
Pd: 0.624 0.624 0.756
Pd: 0.126 0.126 0.244
Pd: 0.126 0.126 0.756